A geometry-optimized Tb2ThTe4 structure. Source: Alexandria via LeMat-Bulk, functional PBE.

The value obtained for the calculated total energy is -5.42 eV/atom. Its magnetic moment is 0.0 Bohr magnetons per cell.

The space group is Cmcm (No. 63) and the conventional cell measures 4.304, 14.347 and 14.953 Å, with angles of 90.00, 90.00 and 90.00 degrees. The asymmetric unit holds Tb at (0.000, 0.135, 0.066), Th at (0.000, 0.374, 0.250), Te at (0.000, 0.037, 0.250), Te at (0.000, 0.223, 0.624) and Te at (0.000, 0.500, 0.000).